[1]
Density functional theory data (GGA-PBE) for a relaxed structure of Ca2InW.

The space group is F-43m (No. 216) and the conventional cell measures 7.323, 7.323 and 7.323 Å, with angles of 90.00, 90.00 and 90.00 degrees. The inequivalent atoms are Ca at (0.000, 0.000, 0.000), Ca at (0.250, 0.250, 0.250), In at (0.000, 0.000, 0.500) and W at (0.250, 0.250, 0.750).

For the formation energy, the calculation gives 0.645 eV per atom.

[2]
Density functional theory data (GGA-PBE) for a relaxed structure of NiMo2Os.

The space group is I4/mmm (No. 139) and the conventional cell measures 3.856, 3.856 and 7.661 Å, with angles of 90.00, 90.00 and 90.00 degrees. The inequivalent atoms are Ni at (0.000, 0.000, 0.000), Mo at (0.000, 0.500, 0.250) and Os at (0.000, 0.000, 0.500).

The value obtained for the relative energy among the computed polymorphs is 0.003 eV/atom. For the formation energy, the calculation gives -0.007 eV per atom.

[3]
Density functional theory data (GGA-PBE) for a relaxed structure of Sm2BPdPt6.

The space group is P-1 (No. 2) and the conventional cell measures 5.587, 5.588 and 7.603 Å, with angles of 68.54, 68.62 and 60.09 degrees. The inequivalent atoms are Sm at (0.210, 0.209, 0.370), B at (0.000, 0.000, 0.000), Pd at (0.500, 0.500, 0.500), Pt at (0.233, 0.235, 0.813), Pt at (0.234, 0.720, 0.813) and Pt at (0.282, 0.765, 0.185).

For the formation energy, the calculation gives -0.766 eV per atom.

[4]
Density functional theory data (GGA-PBE) for a relaxed structure of AgOsO6.

The space group is Fm-3m (No. 225) and the conventional cell measures 8.029, 8.029 and 8.029 Å, with angles of 90.00, 90.00 and 90.00 degrees. The inequivalent atoms are Ag at (0.000, 0.000, 0.000), Os at (0.000, 0.000, 0.500) and O at (0.000, 0.000, 0.270).

Its raw total energy is -178.12 eV/cell.

| no. | DOS(E_F) (states/eV per cell) | V (Å³ per cell) |
| --- | --- | --- |
| 1 | 20.42 | 393 |
| 2 | 4.01 | 114 |
| 3 | 6.57 | 187 |
| 4 | 40.14 | 518 |